Entry from Alexandria via LeMat-Bulk: a relaxed K2BaAsSe4 crystal (GGA-PBE).

a = 8.304 Å, b = 9.670 Å, c = 12.765 Å
α = 90.00°, β = 90.00°, γ = 90.00°
Space group Imma (No. 74)
Unique sites:
K (0.000, 0.000, 0.000) (multiplicity 4)
K (0.250, 0.250, 0.250) (multiplicity 4)
Ba (0.000, 0.000, 0.500) (multiplicity 4)
As (0.250, 0.250, 0.750) (multiplicity 4)
Se (0.000, 0.056, 0.751) (multiplicity 8)
Se (0.250, 0.250, 0.531) (multiplicity 8)

As for the raw formation energy: -852 meV/atom.